PaNbAu2 (PBE, optimized geometry); total DFT energy (no corrections) = -0.2400 Ha/atom; spin magnetization = 1.65 μB per formula unit; DFT formation energy = 0.00 eV per atom; symmetry = No. 225
1.0
0.000 3.482 3.482
3.482 0.000 3.482
3.482 3.482 0.000
Pa Nb Au
1 1 2
Cartesian
0.000 0.000 0.000
3.482 3.482 3.482
1.741 1.741 1.741
5.222 5.222 5.222